Record 1
A geometry-optimized RbLuPdS3 structure. Source: OQMD via LeMat-Bulk, functional PBE.

Calculated values
- space-group type = Cmcm (63)
- offset from the most stable computed form (meV/atom) = 25
- total magnetic moment (μB/f.u.) = 0.00
- mass density (g/cm3) = 5.1

```
12
Lattice="2.003 -7.790 0.000 2.003 7.790 0.000 0.000 0.000 9.727" Properties=species:S:1:pos:R:3 pbc="T T T"
Pd 2.003 7.678 7.295
Pd 2.003 -7.678 2.432
S 2.003 -6.094 4.198
S 2.003 -1.281 2.432
S 2.003 6.094 9.061
S 2.003 1.281 7.295
S 2.003 6.094 5.529
S 2.003 -6.094 0.665
Rb 2.003 3.819 2.432
Rb 2.003 -3.819 7.295
Lu 2.003 0.000 0.000
Lu 2.003 0.000 4.863
```



Record 2
A geometry-optimized RbLuPdS3 structure. Source: OQMD via LeMat-Bulk, functional PBE.

Calculated values
- space-group type = P2_1/m (11)
- offset from the most stable computed form (meV/atom) = 0
- total magnetic moment (μB/f.u.) = 0.00
- mass density (g/cm3) = 4.8

```
12
Lattice="8.835 0.000 0.000 0.000 3.997 0.000 -3.137 0.000 9.043" Properties=species:S:1:pos:R:3 pbc="T T T"
S 7.258 0.999 1.347
S 5.541 2.998 4.033
S 3.612 0.999 1.359
S 0.157 0.999 5.011
S 2.086 2.998 7.684
S -1.560 2.998 7.696
Rb 1.077 2.998 2.113
Rb 4.621 0.999 6.931
Lu 5.438 2.998 1.272
Lu 0.259 0.999 7.771
Pd -1.011 2.998 5.279
Pd 6.709 0.999 3.764
```



Record 3
A geometry-optimized RbLuPdSe3 structure. Source: OQMD via LeMat-Bulk, functional PBE.

Calculated values
- VASP energy (Ha/atom) = -0.171
- space-group type = Pnma (62)
- total magnetic moment (μB/f.u.) = 0.01
- mass density (g/cm3) = 5.8

```
24
Lattice="-5.039 -11.557 -9.268 2.738 1.091 -2.850 7.199 -6.645 4.372" Properties=species:S:1:pos:R:3 pbc="T T T"
Se -0.805 -4.946 -4.142
Se 5.703 -12.164 -3.603
Se 6.590 -6.537 2.353
Se 3.024 -14.238 -6.971
Se -0.698 -8.603 -5.440
Se 5.744 -4.098 -0.475
Se 5.596 -8.507 -2.305
Se 2.685 -6.509 -4.337
Se -0.846 -13.013 -7.271
Se -1.692 -10.574 -10.099
Se 1.873 -2.873 -0.775
Se 2.213 -10.601 -3.409
Lu 4.423 -1.701 -0.825
Lu 0.475 -15.410 -6.920
Lu 0.557 -6.237 -6.277
Lu 4.340 -10.874 -1.469
Pd 3.585 -16.757 -7.396
Pd 1.312 -0.354 -0.349
Pd 1.107 -8.269 -3.578
Pd 3.790 -8.842 -4.168
Rb 3.739 -14.931 -3.600
Rb 3.247 -6.372 -0.795
Rb 1.650 -10.738 -6.950
Rb 1.158 -2.180 -4.146
```



Record 4
A geometry-optimized RbLuPdSe3 structure. Source: OQMD via LeMat-Bulk, functional PBE.

Calculated values
- VASP energy (Ha/atom) = -0.171
- space-group type = P2_1/m (11)
- total magnetic moment (μB/f.u.) = 0.00
- mass density (g/cm3) = 5.8

```
12
Lattice="-5.657 2.803 -6.562 -0.763 -3.909 -1.012 -4.800 -1.298 8.632" Properties=species:S:1:pos:R:3 pbc="T T T"
Rb -5.804 -1.242 -3.345
Rb -5.416 -1.163 4.403
Lu -8.979 0.221 1.744
Lu -2.241 -2.625 -0.685
Se -4.335 -2.732 1.305
Se -4.816 -3.932 6.304
Se -6.886 0.328 -0.246
Se -6.405 1.528 -5.246
Se -3.075 -0.081 -1.540
Se -8.146 -2.323 2.599
Pd -6.714 -2.046 0.449
Pd -4.507 -0.358 0.609
```



Record 5
A geometry-optimized RbLuPdSe3 structure. Source: OQMD via LeMat-Bulk, functional PBE.

Calculated values
- VASP energy (Ha/atom) = -0.171
- space-group type = Cmcm (63)
- total magnetic moment (μB/f.u.) = 0.00
- mass density (g/cm3) = 5.9

```
12
Lattice="2.086 -8.278 0.000 2.086 8.278 0.000 0.000 0.000 9.783" Properties=species:S:1:pos:R:3 pbc="T T T"
Se 2.086 -1.804 9.083
Se 2.086 -6.787 7.337
Se 2.086 1.804 0.700
Se 2.086 -1.804 5.591
Se 2.086 6.787 2.446
Se 2.086 1.804 4.192
Pd 2.086 -0.035 7.337
Pd 2.086 0.035 2.446
Rb 2.086 4.253 7.337
Rb 2.086 -4.253 2.446
Lu 0.000 0.000 4.891
Lu 0.000 0.000 0.000
```



Record 6
A geometry-optimized RbLuTe3Pd structure. Source: OQMD via LeMat-Bulk, functional PBE.

Calculated values
- space-group type = Pnma (62)
- offset from the most stable computed form (meV/atom) = 21
- total magnetic moment (μB/f.u.) = 0.00
- mass density (g/cm3) = 6.1

```
24
Lattice="-10.222 -1.430 -13.220 -2.178 -3.124 2.022 -6.919 7.746 4.512" Properties=species:S:1:pos:R:3 pbc="T T T"
Te -3.214 -1.792 0.666
Te -3.985 2.142 1.315
Te -16.105 4.984 -7.352
Te -12.170 3.945 -0.122
Te -7.141 -0.784 -2.008
Te -10.559 -0.007 -4.488
Te -12.013 -1.767 -8.774
Te -7.307 4.960 2.088
Te -7.150 -0.752 -6.565
Te -8.761 3.199 -2.198
Te -12.179 3.976 -4.678
Te -15.335 1.050 -8.001
Pd -4.988 3.944 3.018
Pd -14.332 -0.752 -9.704
Pd -7.332 -2.151 -4.325
Pd -11.987 5.343 -2.361
Rb -11.599 1.696 -7.576
Rb -15.762 4.061 -3.810
Rb -3.558 -0.869 -2.876
Rb -7.721 1.497 0.890
Lu -7.771 1.213 -4.198
Lu -11.549 1.979 -2.488
Lu -11.569 -0.972 -11.664
Lu -7.751 4.164 4.978
```



Record 7
A geometry-optimized RbLuTe3Pd structure. Source: OQMD via LeMat-Bulk, functional PBE.

Calculated values
- space-group type = P2_1/m (11)
- offset from the most stable computed form (meV/atom) = 24
- total magnetic moment (μB/f.u.) = 0.00
- mass density (g/cm3) = 6.1

```
12
Lattice="9.826 0.000 0.000 0.000 4.289 0.000 -4.527 0.000 9.715" Properties=species:S:1:pos:R:3 pbc="T T T"
Te 5.946 1.072 6.126
Te 1.657 1.072 6.465
Te 1.790 1.072 0.330
Te 3.509 3.217 9.385
Te 3.643 3.217 3.251
Te -0.646 3.217 3.590
Lu 1.475 1.072 3.472
Lu 3.825 3.217 6.243
Pd 4.843 1.072 8.592
Pd 0.456 3.217 1.124
Rb -1.168 3.217 7.337
Rb 6.468 1.072 2.379
```



Record 8
A geometry-optimized RbLuTe3Pd structure. Source: OQMD via LeMat-Bulk, functional PBE.

Calculated values
- space-group type = Cmcm (63)
- offset from the most stable computed form (meV/atom) = 0
- total magnetic moment (μB/f.u.) = 0.00
- mass density (g/cm3) = 6.2

```
12
Lattice="2.194 -9.119 0.000 2.194 9.119 0.000 0.000 0.000 10.031" Properties=species:S:1:pos:R:3 pbc="T T T"
Te 2.194 7.142 5.833
Te 2.194 1.711 7.523
Te 2.194 7.142 9.213
Te 2.194 -1.711 2.508
Te 2.194 -7.142 4.197
Te 2.194 -7.142 0.818
Rb 2.194 -4.477 7.523
Rb 2.194 4.477 2.508
Pd 2.194 9.051 2.508
Pd 2.194 -9.051 7.523
Lu 2.194 0.000 0.000
Lu 2.194 0.000 5.015
```



Record 9
A geometry-optimized LuRePd2 structure. Source: OQMD via LeMat-Bulk, functional PBE.

Calculated values
- space-group type = F-43m (216)
- total magnetic moment (μB/f.u.) = 2.00
- mass density (g/cm3) = 14.0
- formation enthalpy at 0 K (kJ/mol of formula units) = 19

```
4
Lattice="0.911 -4.259 -1.443 0.840 -3.325 3.049 -3.070 -3.347 0.648" Properties=species:S:1:pos:R:3 pbc="T T T"
Re -0.660 -5.466 1.127
Lu -0.330 -2.733 0.564
Pd -0.990 -8.199 1.691
Pd 0.000 0.000 0.000
```



Record 10
A geometry-optimized LuRePd structure. Source: OQMD via LeMat-Bulk, functional PBE.

Calculated values
- space-group type = F-43m (216)
- offset from the most stable computed form (meV/atom) = 0
- total magnetic moment (μB/f.u.) = 1.98
- mass density (g/cm3) = 12.3
- formation enthalpy at 0 K (kJ/mol of formula units) = 139

```
3
Lattice="0.000 3.160 3.160 3.160 0.000 3.160 3.160 3.160 0.000" Properties=species:S:1:pos:R:3 pbc="T T T"
Lu 0.000 0.000 0.000
Pd 4.740 4.740 4.740
Re 3.160 3.160 3.160
```



Record 11
A geometry-optimized LuRePd structure. Source: OQMD via LeMat-Bulk, functional PBE.

Calculated values
- space-group type = F-43m (216)
- offset from the most stable computed form (meV/atom) = 524
- total magnetic moment (μB/f.u.) = 2.52
- mass density (g/cm3) = 12.0
- formation enthalpy at 0 K (kJ/mol of formula units) = 291

```
3
Lattice="-1.020 0.945 4.286 -3.568 2.583 0.949 -3.658 -1.821 1.899" Properties=species:S:1:pos:R:3 pbc="T T T"
Lu 0.000 0.000 0.000
Pd -2.061 0.427 1.784
Re -6.184 1.281 5.351
```



Record 12
A geometry-optimized LuRe2Pd structure. Source: OQMD via LeMat-Bulk, functional PBE.

Calculated values
- space-group type = F-43m (216)
- total magnetic moment (μB/f.u.) = 0.27
- mass density (g/cm3) = 16.2
- formation enthalpy at 0 K (kJ/mol of formula units) = 20

```
4
Lattice="-1.193 -3.458 2.717 -4.326 -1.427 0.105 -1.112 -4.034 -1.802" Properties=species:S:1:pos:R:3 pbc="T T T"
Re 0.000 0.000 0.000
Re -4.973 -6.689 0.765
Lu -1.658 -2.230 0.255
Pd -3.315 -4.460 0.510
```